# PBE+U TaCrN2F, optimized geometry
# offset from the most stable computed form = 0.0 meV/atom
# total energy = -8.21 eV/atom
# magnetic moment = 4.1 μB/f.u.
data_TaCrN2F
_cell_length_a 4.073
_cell_length_b 4.073
_cell_length_c 4.029
_cell_angle_alpha 90.00
_cell_angle_beta 90.00
_cell_angle_gamma 90.00
_symmetry_space_group_name_H-M 'P 4/m m m'
_symmetry_Int_Tables_number 123
_symmetry_space_group_name_Hall '-P 4 2'
loop_
_atom_site_label
_atom_site_fract_x
_atom_site_fract_y
_atom_site_fract_z
_atom_site_occupancy
Ta1 0.000 0.000 0.000 1
Cr1 0.500 0.500 0.500 1
N1 0.000 0.500 0.000 1
F1 0.000 0.000 0.500 1